# LiIn2Pt (PBE-GGA, relaxed)
# Distance to the lowest polymorph of the same formula (meV per atom): 1.0
# Electronic total energy (eV per cell): -30.9
data_LiIn2Pt
_cell_length_a 4.659
_cell_length_b 4.659
_cell_length_c 6.632
_cell_angle_alpha 90.00
_cell_angle_beta 90.00
_cell_angle_gamma 90.00
_symmetry_space_group_name_H-M 'I 4/m m m'
_symmetry_Int_Tables_number 139
_symmetry_space_group_name_Hall '-I 4 2'
loop_
_atom_site_label
_atom_site_fract_x
_atom_site_fract_y
_atom_site_fract_z
Li1 0.000 0.000 0.000
In1 0.000 0.500 0.250
Pt1 0.000 0.000 0.500